# 1
DFT (GGA-PBE) results for a geometry-optimized ZrTlP structure.

Cell lengths 4.4094, 4.4094, 4.1915 Å; angles 90.00, 90.00, 120.00 degrees
Last column: nearest neighbours and their distance in Å.
Space group P-6m2 (No. 187)
Unique sites:
Zr1 0.0000 0.0000 0.0000 [1 per cell]  3 P 2.55
Tl1 0.6667 0.3333 0.5000 [1 per cell]  6 Zr 3.30, 6 P 3.30
P1 0.3333 0.6667 0.0000 [1 per cell]  3 Zr 2.55

## Properties
**Total moment**: 0.000 μB per atom
**Offset from the most stable computed form**: 0.753 eV/f.u.
**Uncorrected energy**: -17.01 eV per formula unit
**ΔE_f**: -22.1 kJ per mole of atoms
**DOS at the Fermi energy**: 1.72 states/eV per cell


# 2
DFT (GGA-PBE) results for a geometry-optimized Tm6Ge2AsS3 structure.

Cell lengths 17.3239, 3.9943, 7.9501 Å; angles 90.00, 102.77, 90.00 degrees
Last column: nearest neighbours and their distance in Å.
Space group C2/m (No. 12)
Unique sites:
Tm1 0.0020 0.0000 0.2511 [4 per cell]  1 Ge 2.78, 3 S 2.82, 2 As 2.82
Tm2 0.1670 0.5000 0.0870 [4 per cell]  2 Ge 2.80, 1 As 2.82, 3 S 2.83-2.84
Tm3 0.1671 0.5000 0.5818 [4 per cell]  3 Ge 2.81, 3 S 2.82-2.84
Ge1 0.1667 0.0000 0.3330 [4 per cell]  6 Tm 2.78-2.81
As1 0.0000 0.5000 0.0000 [2 per cell]  6 Tm 2.82
S1 0.0000 0.5000 0.5000 [2 per cell]  6 Tm 2.82
S2 0.1651 0.0000 0.8341 [4 per cell]  6 Tm 2.82-2.84

## Properties
**Total moment**: 0.000 μB per atom
**Uncorrected energy**: -71.60 eV per formula unit
**Raw formation energy**: -1.5424 eV per atom
**DOS at the Fermi energy**: 4.07 states/eV per cell


# 3
DFT (GGA-PBE) results for a geometry-optimized La6Dy2Hg structure.

Cell lengths 9.8164, 9.8164, 3.7123 Å; angles 90.00, 90.00, 120.00 degrees
Last column: nearest neighbours and their distance in Å.
Space group P-62m (No. 189)
Unique sites:
La1 0.0000 0.3742 0.0000 [3 per cell]  4 Dy 3.61, 1 Hg 3.67, 8 La 3.71-3.88
La2 0.0000 0.7212 0.5000 [3 per cell]  2 Hg 3.31, 2 Dy 3.57
Dy1 0.3333 0.6667 0.5000 [2 per cell]  9 La 3.57-3.61, 2 Dy 3.71
Hg1 0.0000 0.0000 0.0000 [1 per cell]  9 La 3.31-3.67

## Properties
**Total moment**: 0.000 μB per atom
**Uncorrected energy**: -39.93 eV per formula unit
**ΔE_f**: -9.2 kJ per mole of atoms
**DOS at the Fermi energy**: 14.08 states/eV per cell


# 4
DFT (GGA-PBE) results for a geometry-optimized Ho2TmHfSb4 structure.

Cell lengths 7.4208, 4.2807, 7.4209 Å; angles 90.00, 109.29, 90.00 degrees
Last column: nearest neighbours and their distance in Å.
Space group P2/m (No. 10)
Unique sites:
Ho1 0.0000 0.0000 0.0000 [1 per cell]  6 Sb 3.10
Ho2 0.5000 0.5000 0.0000 [1 per cell]  6 Sb 3.04
Tm1 0.0000 0.5000 0.5000 [1 per cell]  6 Sb 3.02
Hf1 0.5000 0.0000 0.5000 [1 per cell]  6 Sb 2.96
Sb1 0.2542 0.0000 0.7427 [2 per cell]  1 Hf 2.96, 2 Tm 3.02, 3 Ho 3.04-3.10
Sb2 0.2604 0.5000 0.2619 [2 per cell]  2 Hf 2.96, 1 Tm 3.02, 3 Ho 3.04-3.10

## Properties
**Total moment**: 0.000 μB per atom
**Uncorrected energy**: -47.43 eV per formula unit
**Raw formation energy**: -0.9194 eV per atom
**DOS at the Fermi energy**: 1.31 states/eV per cell


# 5
DFT (GGA-PBE) results for a geometry-optimized AlCr2Cu structure.

Cell lengths 3.1089, 3.8890, 4.2247 Å; angles 90.00, 90.00, 90.00 degrees
Last column: nearest neighbours and their distance in Å.
Space group Pmmm (No. 47)
Unique sites:
Al1 0.0000 0.0000 0.0000 [1 per cell]  4 Cu 2.49, 4 Cr 2.62
Cr1 0.0000 0.5000 0.5000 [1 per cell]  4 Cr 2.49, 4 Cu 2.62
Cr2 0.5000 0.0000 0.5000 [1 per cell]  4 Cr 2.49, 4 Al 2.62
Cu1 0.5000 0.5000 0.0000 [1 per cell]  4 Al 2.49, 4 Cr 2.62

## Properties
**Total moment**: 0.117 μB per atom
**Uncorrected energy**: -27.04 eV per formula unit
**ΔE_f**: 1.0 kJ per mole of atoms
**DOS at the Fermi energy**: 2.97 states/eV per cell


# 6
DFT (GGA-PBE) results for a geometry-optimized PmZnCo structure.

Cell lengths 6.2955, 6.2955, 6.2955 Å; angles 90.00, 90.00, 90.00 degrees
Last column: nearest neighbours and their distance in Å.
Space group F-43m (No. 216)
Unique sites:
Pm1 0.0000 0.0000 0.0000 [4 per cell]  4 Co 2.73
Zn1 0.0000 0.0000 0.5000 [4 per cell]  4 Co 2.73
Co1 0.2500 0.2500 0.7500 [4 per cell]  4 Pm 2.73, 4 Zn 2.73

## Properties
**Total moment**: 0.000 μB per atom
**Offset from the most stable computed form**: 0.668 eV/f.u.
**Uncorrected energy**: -13.10 eV per formula unit
**ΔE_f**: 1.0 kJ per mole of atoms
**DOS at the Fermi energy**: 7.57 states/eV per cell


# 7
DFT (GGA-PBE) results for a geometry-optimized LaZrB structure.

Cell lengths 3.2764, 5.6755, 12.9653 Å; angles 90.00, 90.30, 90.00 degrees
Last column: nearest neighbours and their distance in Å.
Space group C2 (No. 5)
Unique sites:
La1 0.0018 0.0000 0.3706 [4 per cell]  7 La 3.28-3.36, 3 Zr 3.63-3.66
Zr1 0.0027 0.6635 0.1302 [4 per cell]  6 B 2.53-2.54
B1 0.0000 0.3303 0.0000 [2 per cell]  3 B 1.89
B2 0.0000 0.9968 0.0000 [2 per cell]  3 B 1.89

## Properties
**Total moment**: 0.000 μB per atom
**Offset from the most stable computed form**: 0.025 eV/f.u.
**Uncorrected energy**: -21.19 eV per formula unit
**ΔE_f**: -33.5 kJ per mole of atoms
**DOS at the Fermi energy**: 8.78 states/eV per cell


# 8
DFT (GGA-PBE) results for a geometry-optimized Ac6Tl2CoI3 structure.

Cell lengths 8.5124, 13.4059, 8.6038 Å; angles 90.00, 107.48, 90.00 degrees
Last column: nearest neighbours and their distance in Å.
Space group C2/m (No. 12)
Unique sites:
Ac1 0.2104 0.1500 0.1921 [8 per cell]  1 Co 2.86
Ac2 0.2119 0.0000 0.7722 [4 per cell]  1 Co 3.04, 2 Tl 3.31
Tl1 0.0000 0.3511 0.0000 [4 per cell]  6 Ac 3.31-3.38
Co1 0.0000 0.0000 0.0000 [2 per cell]  6 Ac 2.86-3.04
I1 0.0000 0.1874 0.5000 [4 per cell]  6 Ac 3.54-3.73
I2 0.0000 0.5000 0.5000 [2 per cell]  6 Ac 3.64-3.87

## Properties
**Total moment**: 0.000 μB per atom
**Uncorrected energy**: -48.53 eV per formula unit
**Raw formation energy**: -0.6161 eV per atom
**DOS at the Fermi energy**: 21.07 states/eV per cell


# 9
DFT (GGA-PBE) results for a geometry-optimized Ce2PuTi structure.

Cell lengths 4.7638, 4.7638, 4.2165 Å; angles 90.00, 90.00, 90.00 degrees
Last column: nearest neighbours and their distance in Å.
Space group P4/mmm (No. 123)
Unique sites:
Ce1 0.0000 0.5000 0.0000 [2 per cell]  4 Pu 3.18, 4 Ti 3.18, 4 Ce 3.37
Pu1 0.0000 0.0000 0.5000 [1 per cell]  8 Ce 3.18, 4 Ti 3.37
Ti1 0.5000 0.5000 0.5000 [1 per cell]  8 Ce 3.18, 4 Pu 3.37

## Properties
**Total moment**: 1.268 μB per atom
**Offset from the most stable computed form**: 0.000 eV/f.u.
**Uncorrected energy**: -33.45 eV per formula unit
**ΔE_f**: 15.7 kJ per mole of atoms
**DOS at the Fermi energy**: 9.44 states/eV per cell


# 10
DFT (GGA-PBE) results for a geometry-optimized PmSnBi structure.

Cell lengths 5.2181, 5.2181, 3.9700 Å; angles 90.00, 90.00, 120.00 degrees
Last column: nearest neighbours and their distance in Å.
Space group P-6m2 (No. 187)
Unique sites:
Pm1 0.0000 0.0000 0.0000 [1 per cell]  6 Bi 3.61, 6 Sn 3.61, 2 Pm 3.97
Sn1 0.3333 0.6667 0.5000 [1 per cell]  3 Bi 3.01
Bi1 0.6667 0.3333 0.5000 [1 per cell]  3 Sn 3.01

## Properties
**Total moment**: 0.000 μB per atom
**Offset from the most stable computed form**: 0.929 eV/f.u.
**Uncorrected energy**: -13.70 eV per formula unit
**ΔE_f**: -34.4 kJ per mole of atoms
**DOS at the Fermi energy**: 1.49 states/eV per cell


# 11
DFT (GGA-PBE) results for a geometry-optimized Ti5Ga2Ir structure.

Cell lengths 6.6692, 6.6692, 11.7985 Å; angles 90.00, 90.00, 90.00 degrees
Last column: nearest neighbours and their distance in Å.
Space group I4/mcm (No. 140)
Unique sites:
Ti1 0.0000 0.0000 0.0000 [4 per cell]  4 Ga 2.59
Ti2 0.1623 0.3377 0.1560 [16 per cell]  3 Ga 2.65-2.71, 2 Ir 2.73, 1 Ti 2.77
Ga1 0.1353 0.3647 0.5000 [8 per cell]  1 Ga 2.55, 8 Ti 2.59-2.71
Ir1 0.0000 0.0000 0.2500 [4 per cell]  10 Ti 2.73-2.95

## Properties
**Total moment**: 0.000 μB per atom
**Offset from the most stable computed form**: 0.657 eV/f.u.
**Uncorrected energy**: -57.71 eV per formula unit
**ΔE_f**: -40.1 kJ per mole of atoms
**DOS at the Fermi energy**: 43.34 states/eV per cell


# 12
DFT (GGA-PBE) results for a geometry-optimized Hf2Co3Tc structure.

Cell lengths 4.9617, 4.9617, 12.1474 Å; angles 90.00, 90.00, 120.00 degrees
Last column: nearest neighbours and their distance in Å.
Space group R-3m (No. 166, hexagonal axes)
Unique sites:
Hf1 0.0000 0.0000 0.1256 [6 per cell]  9 Co 2.90-2.91, 3 Tc 2.91, 4 Hf 3.03-3.05
Co1 0.0000 0.5000 0.0000 [9 per cell]  2 Tc 2.48, 4 Co 2.48
Tc1 0.0000 0.0000 0.5000 [3 per cell]  6 Co 2.48

## Properties
**Total moment**: 0.103 μB per atom
**Uncorrected energy**: -53.60 eV per formula unit
**ΔE_f**: -32.3 kJ per mole of atoms
**DOS at the Fermi energy**: 23.16 states/eV per cell


# 13
DFT (GGA-PBE) results for a geometry-optimized Rb6I3Br2Cl structure.

Cell lengths 22.2514, 5.0656, 10.2292 Å; angles 90.00, 103.97, 90.00 degrees
Last column: nearest neighbours and their distance in Å.
Space group C2/m (No. 12)
Unique sites:
Rb1 0.0030 0.0000 0.2325 [4 per cell]  2 Cl 3.46, 1 Br 3.52, 3 I 3.69-3.74
Rb2 0.1597 0.5000 0.0897 [4 per cell]  1 Cl 3.45, 2 Br 3.52, 3 I 3.67-3.74
Rb3 0.1704 0.5000 0.5744 [4 per cell]  3 Br 3.53-3.54, 3 I 3.68
I1 0.0000 0.5000 0.5000 [2 per cell]  6 Rb 3.68-3.74
I2 0.1674 0.0000 0.8341 [4 per cell]  6 Rb 3.67-3.74
Br1 0.1658 0.0000 0.3315 [4 per cell]  6 Rb 3.52-3.54
Cl1 0.0000 0.5000 0.0000 [2 per cell]  6 Rb 3.45-3.46

## Properties
**Total moment**: 0.000 μB per atom
**Uncorrected energy**: -35.41 eV per formula unit
**Raw formation energy**: -1.6472 eV per atom
**DOS at the Fermi energy**: 0.00 states/eV per cell


# 14
DFT (GGA-PBE) results for a geometry-optimized NbMoHAu2 structure.

Cell lengths 5.1363, 5.1363, 3.3349 Å; angles 90.00, 90.00, 90.00 degrees
Last column: nearest neighbours and their distance in Å.
Space group P4/mmm (No. 123)
Unique sites:
Nb1 0.0000 0.0000 0.0000 [1 per cell]  2 H 1.67
Mo1 0.5000 0.5000 0.5000 [1 per cell]  8 Au 3.06, 2 Mo 3.33
H1 0.0000 0.0000 0.5000 [1 per cell]  2 Nb 1.67
Au1 0.0000 0.5000 0.0000 [2 per cell]  2 Nb 2.57

## Properties
**Total moment**: 0.289 μB per atom
**Uncorrected energy**: -26.01 eV per formula unit
**DOS at the Fermi energy**: 5.05 states/eV per cell


# 15
DFT (GGA-PBE) results for a geometry-optimized Zn2AsRh structure.

Cell lengths 3.0817, 3.0817, 24.3039 Å; angles 90.00, 90.00, 120.00 degrees
Last column: nearest neighbours and their distance in Å.
Space group R3m (No. 160, hexagonal axes)
Unique sites:
Zn1 0.0000 0.0000 0.0000 [3 per cell]  9 Zn 2.79-3.08, 3 As 2.91
Zn2 0.0000 0.0000 0.2451 [3 per cell]  3 Rh 2.66, 3 Zn 2.79
As1 0.0000 0.0000 0.7614 [3 per cell]  3 Rh 2.44
Rh1 0.0000 0.0000 0.4969 [3 per cell]  3 As 2.44, 3 Zn 2.66

## Properties
**Total moment**: 0.000 μB per atom
**Uncorrected energy**: -14.97 eV per formula unit
**ΔE_f**: -10.1 kJ per mole of atoms
**DOS at the Fermi energy**: 7.22 states/eV per cell


# 16
DFT (GGA-PBE) results for a geometry-optimized Ho5TmGa4 structure.

Cell lengths 16.9960, 3.6510, 8.6512 Å; angles 90.00, 94.02, 90.00 degrees
Last column: nearest neighbours and their distance in Å.
Space group C2/m (No. 12)
Unique sites:
Ho1 0.0000 0.0000 0.0000 [2 per cell]  4 Ga 2.86
Ho2 0.1495 0.5000 0.2848 [4 per cell]  4 Ga 2.94-3.05
Ho3 0.1881 0.5000 0.8529 [4 per cell]  3 Ga 2.86-3.10
Tm1 0.0000 0.0000 0.5000 [2 per cell]  6 Ga 2.86-3.15
Ga1 0.0239 0.5000 0.7530 [4 per cell]  2 Tm 2.86, 4 Ho 2.86-2.94
Ga2 0.1849 0.0000 0.5631 [4 per cell]  5 Ho 3.02-3.10, 2 Ga 3.12, 1 Tm 3.15

## Properties
**Total moment**: 0.000 μB per atom
**Uncorrected energy**: -42.36 eV per formula unit
**ΔE_f**: -27.9 kJ per mole of atoms
**DOS at the Fermi energy**: 17.83 states/eV per cell


# 17
DFT (GGA-PBE) results for a geometry-optimized RbAgCl3 structure.

Cell lengths 8.9499, 6.9550, 11.5031 Å; angles 90.00, 118.90, 90.00 degrees
Last column: nearest neighbours and their distance in Å.
Space group P2_1/c (No. 14)
Unique sites:
Rb1 0.1425 0.2336 0.1527 [4 per cell]  7 Cl 3.30-3.58
Ag1 0.4055 0.7075 0.3706 [4 per cell]  4 Cl 2.44-2.53
Cl1 0.1093 0.7358 0.7012 [4 per cell]  1 Ag 2.45
Cl2 0.3124 0.0812 0.9537 [4 per cell]  2 Ag 2.51-2.53
Cl3 0.4647 0.0025 0.6606 [4 per cell]  1 Ag 2.44

## Properties
**Total moment**: 0.000 μB per atom
**Uncorrected energy**: -14.36 eV per formula unit
**Raw formation energy**: -0.9998 eV per atom
**DOS at the Fermi energy**: 11.46 states/eV per cell


# 18
DFT (GGA-PBE) results for a geometry-optimized Sc4RhAu structure.

Cell lengths 6.4927, 6.4927, 6.4887 Å; angles 90.00, 90.11, 90.00 degrees
Last column: nearest neighbours and their distance in Å.
Space group C2/m (No. 12)
Unique sites:
Sc1 0.2496 0.2502 0.2408 [8 per cell]  2 Rh 2.77-2.78, 2 Au 2.85
Rh1 0.0000 0.0000 0.0000 [2 per cell]  8 Sc 2.77-2.78
Au1 0.0000 0.5000 0.5000 [2 per cell]  8 Sc 2.85

## Properties
**Total moment**: 0.000 μB per atom
**Offset from the most stable computed form**: 0.000 eV/f.u.
**Uncorrected energy**: -38.97 eV per formula unit
**ΔE_f**: -48.5 kJ per mole of atoms
**DOS at the Fermi energy**: 15.95 states/eV per cell


# 19
DFT (GGA-PBE) results for a geometry-optimized Ta2FeW structure.

Cell lengths 3.1779, 3.1779, 6.2730 Å; angles 90.00, 90.00, 90.00 degrees
Last column: nearest neighbours and their distance in Å.
Space group P4/mmm (No. 123)
Unique sites:
Ta1 0.0000 0.0000 0.2416 [2 per cell]  4 Fe 2.71, 4 W 2.77, 1 Ta 3.03
Fe1 0.5000 0.5000 0.0000 [1 per cell]  8 Ta 2.71
W1 0.5000 0.5000 0.5000 [1 per cell]  8 Ta 2.77

## Properties
**Total moment**: 0.151 μB per atom
**Uncorrected energy**: -45.54 eV per formula unit
**ΔE_f**: -10.0 kJ per mole of atoms
**DOS at the Fermi energy**: 2.98 states/eV per cell


# 20
DFT (GGA-PBE) results for a geometry-optimized LaReB2 structure.

Cell lengths 4.5937, 4.5937, 13.7177 Å; angles 90.00, 90.00, 90.00 degrees
Last column: nearest neighbours and their distance in Å.
Space group I4_1/amd (No. 141, origin choice 2)
Unique sites:
La1 0.0000 0.2500 0.3750 [4 per cell]  8 B 3.09, 4 Re 3.25
Re1 0.0000 0.2500 0.8750 [4 per cell]  4 B 2.06
B1 0.0000 0.0000 0.0000 [8 per cell]  2 Re 2.06, 2 B 2.30

## Properties
**Total moment**: 0.000 μB per atom
**Offset from the most stable computed form**: 0.000 eV/f.u.
**Uncorrected energy**: -30.58 eV per formula unit
**ΔE_f**: 3.5 kJ per mole of atoms
**DOS at the Fermi energy**: 7.29 states/eV per cell